Here is an optimized crystal structure of La6Cu6O17 from Alexandria. Energies are from GGA-PBE.

Values from the calculation:
Total DFT energy (no corrections)   -6.816 eV per atom
Raw formation energy   -2.04 eV/atom
Space-group type   P312

a = 6.732 Å, b = 6.732 Å, c = 10.525 Å
α = 90.00°, β = 90.00°, γ = 120.00°
Atoms (fractional coordinates):
La 0.000 0.000 0.225
La 0.667 0.333 0.755
La 0.667 0.333 0.245
La 0.000 0.000 0.775
La 0.333 0.667 0.706
La 0.333 0.667 0.294
Cu 0.836 0.164 0.500
Cu 0.836 0.672 0.500
Cu 0.010 0.505 0.000
Cu 0.328 0.164 0.500
Cu 0.495 0.990 0.000
Cu 0.495 0.505 0.000
O 0.709 0.032 0.657
O 0.968 0.291 0.343
O 0.709 0.677 0.343
O 0.667 0.333 0.000
O 0.667 0.333 0.500
O 0.000 0.000 0.500
O 0.968 0.677 0.657
O 0.323 0.291 0.657
O 0.011 0.663 0.146
O 0.323 0.032 0.343
O 0.011 0.348 0.854
O 0.337 0.989 0.854
O 0.333 0.667 0.500
O 0.333 0.667 0.000
O 0.652 0.989 0.146
O 0.337 0.348 0.146
O 0.652 0.663 0.854